Material: Ir2RuI2
Method: DFT, GGA-PBE
State: relaxed

- DOS(E_F) (states/eV per atom) = 1.09
- space-group type = P4/mbm
- energy relative to the lowest polymorph listed for this composition (eV per atom) = 0.000

abc: 6.9415 6.9415 4.2120
angles: 90.00 90.00 90.00
Atoms (fractional coordinates):
Ir 0.1326 0.3674 0.0000
Ir 0.3674 0.8674 0.0000
Ir 0.6326 0.1326 0.0000
Ir 0.8674 0.6326 0.0000
Ru 0.0000 0.0000 0.0000
Ru 0.5000 0.5000 0.0000
I 0.1863 0.6863 0.5000
I 0.3137 0.1863 0.5000
I 0.6863 0.8137 0.5000
I 0.8137 0.3137 0.5000